This record from Alexandria describes TiSb2TeI after structural relaxation. The functional is PBE. Values from VASP.

Cell and atoms, written as Quantum ESPRESSO input:
```
&SYSTEM
  ibrav = 0, nat = 5, ntyp = 4
/
ATOMIC_SPECIES
Ti 47.87 Ti.upf
Sb 121.76 Sb.upf
Te 127.60 Te.upf
I 126.90 I.upf
ATOMIC_POSITIONS angstrom
Ti 0.000 0.000 0.000
Sb 0.000 2.868 2.842
Sb 2.868 0.000 2.842
Te 2.868 2.868 0.000
I 2.868 2.868 2.842
CELL_PARAMETERS angstrom
5.735 0.000 0.000
0.000 5.735 0.000
0.000 0.000 5.684
```

Space-group type ... P4/mmm
V ... 187.0 Å³/f.u.
Final energy ... -2.906 eV per atom
Formation energy without anion corrections ... 1.261 eV/atom
Polymorph energy (0 for the lowest one) ... 1244 meV/atom